# Cu3IO (PBE-GGA, optimized geometry)
data_Cu3IO
_cell_length_a 4.815
_cell_length_b 4.815
_cell_length_c 4.815
_cell_angle_alpha 90.00
_cell_angle_beta 90.00
_cell_angle_gamma 90.00
_symmetry_space_group_name_H-M 'P m -3 m'
_symmetry_Int_Tables_number 221
_symmetry_space_group_name_Hall '-P 4 2 3'
loop_
_atom_site_label
_atom_site_type_symbol
_atom_site_fract_x
_atom_site_fract_y
_atom_site_fract_z
_atom_site_occupancy
Cu1 Cu 0.000 0.000 0.500 1
I1 I 0.000 0.000 0.000 1
O1 O 0.500 0.500 0.500 1
# - Calculated volume: 111.62 Å³ per cell
# - Formation energy without anion corrections: 1.233 eV/atom
# - M_tot: 0.00 Bohr magnetons per cell
# - E above lowest polymorph: 1.196 eV/atom
# - Crystal system: cubic